DFT (GGA-PBE) results for a relaxed structure of CaCe2Fe.

## Properties
The calculation puts the offset from the most stable computed form at 0.0000 eV/atom. The calculation puts the total energy at -5.4859 eV per atom. The value obtained for the formation energy is 97 meV/atom.

Unit cell a=3.849 b=3.849 c=9.407 alpha=78.19 beta=78.19 gamma=60.00
Element x y z (fractional)
Ce 0.052 0.052 0.844
Fe 0.664 0.664 0.009
Ca 0.502 0.502 0.493
Ce 0.282 0.282 0.154